# Hg2AuBr

Hg2AuBr after structural relaxation (PBE, Alexandria).

Cell: 5.195 5.195 5.195 Å, 60.00 60.00 60.00°
Atoms (fractional coordinates):
Hg 0.250 0.250 0.250
Hg 0.750 0.750 0.750
Au 0.000 0.000 0.000
Br 0.500 0.500 0.500

- formation energy without anion corrections (eV per atom) = 0.27
- distance to the lowest polymorph of the same formula (meV per atom) = 338
- raw total energy (eV per cell) = -4.48

# Hg2AuBr

Hg2AuBr after structural relaxation (PBE, Alexandria).

Cell: 3.491 3.491 7.828 Å, 90.00 90.00 90.00°
Atoms (fractional coordinates):
Hg 0.000 0.000 0.225
Hg 0.000 0.000 0.775
Au 0.500 0.500 0.000
Br 0.500 0.500 0.500

- formation energy without anion corrections (eV per atom) = 0.10
- distance to the lowest polymorph of the same formula (meV per atom) = 173
- raw total energy (eV per cell) = -5.15

# Hg4AuBr

Hg4AuBr after structural relaxation (PBE, Alexandria).

Cell: 7.537 7.537 6.605 Å, 95.64 95.64 71.67°
Atoms (fractional coordinates):
Hg 0.074 0.642 0.382
Hg 0.229 0.771 0.000
Hg 0.261 0.261 0.252
Hg 0.358 0.926 0.618
Hg 0.642 0.074 0.382
Hg 0.739 0.739 0.748
Hg 0.771 0.229 0.000
Hg 0.926 0.358 0.618
Au 0.036 0.036 0.307
Au 0.964 0.964 0.693
Br 0.349 0.349 0.848
Br 0.651 0.651 0.152

- formation energy without anion corrections (eV per atom) = -0.07
- distance to the lowest polymorph of the same formula (meV per atom) = 6
- raw total energy (eV per cell) = -13.21

Q: The lowest formation energy without anion corrections belongs to which entry?
A: Hg4AuBr